Record 1
A plane-wave DFT calculation with GGA-PBE was carried out for a geometry-optimized AgBiPbS3 structure.

Geometry as extended XYZ:
```
6
Lattice="-2.0438 2.8860 6.1361 2.0438 -2.8860 6.1361 2.0438 2.8860 -6.1361" Properties=species:S:1:pos:R:3 pbc="T T T"
Ag 0.0000 0.0000 0.0000
Bi 0.0000 0.0000 8.2660
Pb 0.0000 0.0000 4.1347
S 2.0438 0.0000 2.0310
S 0.0000 2.8860 0.2297
S 0.0000 2.8860 4.1750
```

For the calculated volume, the calculation gives 145 Å³/cell. The formation energy from raw total energies comes out at -0.3044 eV per atom. As for the excess energy over the best structure of this formula in the dataset: 0.0 meV per atom. The theoretical density comes out at 7.1 Mg/m³. As for the density of states at the Fermi level: 0.03 states/eV/cell. The total energy is -24.65 eV/cell.

***

Record 2
A plane-wave DFT calculation with GGA-PBE was carried out for a geometry-optimized AgBiPbSe3 structure.

Geometry as extended XYZ:
```
12
Lattice="8.6692 0.0000 0.0000 0.0000 4.1899 0.0000 -1.8317 0.0000 9.1669" Properties=species:S:1:pos:R:3 pbc="T T T"
Ag 0.5299 1.0475 0.8221
Ag 6.3076 3.1425 8.3448
Bi 2.1673 3.1425 3.2173
Bi 4.6702 1.0475 5.9495
Pb 0.2806 1.0475 6.9616
Pb 6.5569 3.1425 2.2053
Se 0.1560 1.0475 3.4959
Se 2.1799 3.1425 0.0491
Se 2.4784 3.1425 6.0574
Se 4.3591 1.0475 3.1094
Se 4.6576 1.0475 9.1178
Se 6.6815 3.1425 5.6710
```

For the calculated volume, the calculation gives 333 Å³/cell. The formation energy from raw total energies comes out at -0.3375 eV per atom. The theoretical density comes out at 7.6 Mg/m³. The total energy is -45.84 eV/cell.

***

Q: Among the records above, which one has the highest total energy?
A: AgBiPbS3